Entry from Alexandria: ZrMn2Br after structural relaxation (PBE).

Values from the calculation:
Energy   -6.608 eV/atom
SG   F-43m, No. 216
Offset from the most stable computed form   486 meV per atom
Calculated volume   72.8 Å³/cell

```
data_ZrMn2Br
_chemical_formula_sum 'Zr1 Mn2 Br1'
_symmetry_space_group_name_H-M 'P 1'
_symmetry_Int_Tables_number 1
_cell_length_a 4.687
_cell_length_b 4.687
_cell_length_c 4.687
_cell_angle_alpha 60.00
_cell_angle_beta 60.00
_cell_angle_gamma 60.00
loop_
_symmetry_equiv_pos_as_xyz
'x,y,z'
loop_
_atom_site_label
_atom_site_type_symbol
_atom_site_fract_x
_atom_site_fract_y
_atom_site_fract_z
Br1 Br 0.500 0.500 0.500
Mn1 Mn 0.000 0.000 0.000
Mn2 Mn 0.250 0.250 0.250
Zr1 Zr 0.750 0.750 0.750
```

---

Entry from Alexandria: Pr2NpAs3Rh4 after structural relaxation (PBE).

Values from the calculation:
Energy   -7.418 eV/atom
SG   P-4m2, No. 115
Energy of formation from the pure elements   -0.832 eV/atom
Calculated volume   197.3 Å³/cell

```
data_Pr2NpAs3Rh4
_chemical_formula_sum 'Pr2 Np1 As3 Rh4'
_symmetry_space_group_name_H-M 'P 1'
_symmetry_Int_Tables_number 1
_cell_length_a 4.190
_cell_length_b 4.190
_cell_length_c 11.240
_cell_angle_alpha 90.00
_cell_angle_beta 90.00
_cell_angle_gamma 90.00
loop_
_symmetry_equiv_pos_as_xyz
'x,y,z'
loop_
_atom_site_label
_atom_site_type_symbol
_atom_site_fract_x
_atom_site_fract_y
_atom_site_fract_z
As1 As 0.000 0.500 0.129
As2 As 0.000 0.000 0.500
As3 As 0.500 0.000 0.871
Rh1 Rh 0.500 0.500 0.000
Rh2 Rh 0.000 0.000 0.000
Rh3 Rh 0.000 0.500 0.348
Rh4 Rh 0.500 0.000 0.652
Np1 Np 0.500 0.500 0.500
Pr1 Pr 0.500 0.000 0.225
Pr2 Pr 0.000 0.500 0.775
```

---

Which value of energy does entry 2 give?
-7.418 eV/atom

---

Look up the energy of the second one.
-7.418 eV/atom

---

Please write out number 2 again, unchanged.
Entry from Alexandria: Pr2NpAs3Rh4 after structural relaxation (PBE).

Values from the calculation:
Energy   -7.418 eV/atom
SG   P-4m2, No. 115
Energy of formation from the pure elements   -0.832 eV/atom
Calculated volume   197.3 Å³/cell

```
data_Pr2NpAs3Rh4
_chemical_formula_sum 'Pr2 Np1 As3 Rh4'
_symmetry_space_group_name_H-M 'P 1'
_symmetry_Int_Tables_number 1
_cell_length_a 4.190
_cell_length_b 4.190
_cell_length_c 11.240
_cell_angle_alpha 90.00
_cell_angle_beta 90.00
_cell_angle_gamma 90.00
loop_
_symmetry_equiv_pos_as_xyz
'x,y,z'
loop_
_atom_site_label
_atom_site_type_symbol
_atom_site_fract_x
_atom_site_fract_y
_atom_site_fract_z
As1 As 0.000 0.500 0.129
As2 As 0.000 0.000 0.500
As3 As 0.500 0.000 0.871
Rh1 Rh 0.500 0.500 0.000
Rh2 Rh 0.000 0.000 0.000
Rh3 Rh 0.000 0.500 0.348
Rh4 Rh 0.500 0.000 0.652
Np1 Np 0.500 0.500 0.500
Pr1 Pr 0.500 0.000 0.225
Pr2 Pr 0.000 0.500 0.775
```

---

The lowest calculated volume belongs to which entry?
ZrMn2Br